Entry 1:
Computed, not measured: crystalline Zr2MnPb at its relaxed geometry at the GGA-PBE level of DFT. Values from VASP.

Computed properties:
DFT total energy = -29.83 eV per cell
Space-group type = No. 119

```
&SYSTEM
  ibrav = 0, nat = 4, ntyp = 3
/
ATOMIC_SPECIES
Zr 91.22 Zr.upf
Mn 54.94 Mn.upf
Pb 207.20 Pb.upf
ATOMIC_POSITIONS angstrom
Zr 0.000 0.000 0.000
Zr 0.000 2.107 2.391
Mn 2.107 0.000 2.391
Pb 0.000 0.000 4.783
CELL_PARAMETERS angstrom
-2.107 2.107 4.783
2.107 -2.107 4.783
2.107 2.107 -4.783
```



Entry 2:
Computed, not measured: crystalline Ag2Pd5Pb at its relaxed geometry at the GGA-PBE level of DFT. Values from VASP.

Computed properties:
Space-group type = No. 140
ΔE to the lowest computed polymorph = 0.1431 eV per atom

```
&SYSTEM
  ibrav = 0, nat = 16, ntyp = 3
/
ATOMIC_SPECIES
Ag 107.87 Ag.upf
Pd 106.42 Pd.upf
Pb 207.20 Pb.upf
ATOMIC_POSITIONS angstrom
Ag 4.572 1.029 0.000
Ag 1.029 2.514 0.000
Ag 2.514 1.029 5.616
Ag -1.029 2.514 5.616
Pd 0.000 0.000 0.000
Pd 4.584 -1.041 1.859
Pd 2.502 -1.041 3.757
Pd 2.502 1.041 1.859
Pd 4.584 1.041 3.757
Pd 0.000 0.000 5.616
Pd -1.041 2.502 1.859
Pd 1.041 2.502 3.757
Pd 1.041 4.584 1.859
Pd -1.041 4.584 3.757
Pb 0.000 0.000 2.808
Pb 0.000 0.000 8.424
CELL_PARAMETERS angstrom
-3.543 3.543 5.616
3.543 -3.543 5.616
3.543 3.543 -5.616
```



Entry 3:
Computed, not measured: crystalline CaNpPt2 at its relaxed geometry at the GGA-PBE level of DFT. Values from VASP.

Computed properties:
Space-group type = No. 225
ΔE to the lowest computed polymorph = 0.0498 eV per atom

```
&SYSTEM
  ibrav = 0, nat = 4, ntyp = 3
/
ATOMIC_SPECIES
Ca 40.08 Ca.upf
Np 237.00 Np.upf
Pt 195.08 Pt.upf
ATOMIC_POSITIONS angstrom
Ca 0.000 0.000 0.000
Np 3.490 3.490 3.490
Pt 1.745 1.745 1.745
Pt 5.235 5.235 5.235
CELL_PARAMETERS angstrom
0.000 3.490 3.490
3.490 0.000 3.490
3.490 3.490 0.000
```



Entry 4:
Computed, not measured: crystalline Pr6Y8Th at its relaxed geometry at the GGA-PBE level of DFT. Values from VASP.

Computed properties:
Space-group type = No. 148
ΔE to the lowest computed polymorph = 0.0649 eV per atom

```
&SYSTEM
  ibrav = 0, nat = 15, ntyp = 3
/
ATOMIC_SPECIES
Pr 140.91 Pr.upf
Y 88.91 Y.upf
Th 232.04 Th.upf
ATOMIC_POSITIONS angstrom
Pr -3.312 -0.777 8.863
Pr -0.983 -3.257 9.178
Pr -2.329 2.480 9.178
Pr 2.329 -2.480 8.863
Pr 0.983 3.257 8.863
Pr 3.312 0.777 9.178
Y 0.000 0.000 1.514
Y -2.112 0.523 5.992
Y 0.603 -2.091 5.992
Y -1.509 -1.567 12.048
Y 1.509 1.567 5.992
Y -0.603 2.091 12.048
Y 2.112 -0.523 12.048
Y 0.000 0.000 16.527
Th 0.000 0.000 9.020
CELL_PARAMETERS angstrom
4.950 2.858 6.013
-4.950 2.858 6.013
0.000 -5.715 6.013
```



| no. | magnetization (μB per formula unit) |
| --- | --- |
| 1 | 2.88 |
| 2 | 0.00 |
| 3 | 4.06 |
| 4 | 0.00 |